DFT (PBE) results for a relaxed TaSbPBr2 crystal.

Results
The value obtained for the density is 6.27 Mg/m³. Its total magnetization is 1.1 Bohr magnetons per cell. The density of states at the Fermi level comes out at 4.782 states/eV per cell. As for the formation energy (no corrections): 35 kJ per mole of atoms. As for the crystal system: tetragonal. As for the symmetry: P4/mmm, No. 123.

POSCAR file:
```
TaSbPBr2
1.0
-3.014 3.963 -1.234
-3.089 -1.197 3.702
2.657 3.013 3.191
P Br Sb Ta
1 2 1 1
Direct
0.000 0.500 0.000
0.000 0.000 0.500
0.500 0.000 0.000
0.500 0.500 0.500
0.000 0.000 0.000
```